No. 1
Pm2Pr8Dy: optimized geometry, PBE.

The structure in extended XYZ format:
```
11
Lattice="4.633 -8.399 0.000 4.633 8.399 0.000 -3.330 0.000 5.075" Properties=species:S:1:pos:R:3 pbc="T T T"
Pm 4.633 5.184 0.000
Pm 4.633 -5.184 0.000
Pr -0.247 0.000 1.506
Pr -0.097 1.962 4.171
Pr 2.968 3.447 2.537
Pr -0.097 -1.962 4.171
Pr 6.034 1.962 0.904
Pr 2.968 -3.447 2.537
Pr 6.034 -1.962 0.904
Pr 6.183 0.000 3.569
Dy 2.968 0.000 2.537
```

Computed properties:
The value obtained for the density of states at the Fermi level is 14.98 states/eV/f.u. As for the space group: No. 12. The value obtained for the energy above the most stable polymorph in this dataset is 29 meV/atom. The calculation puts the formation energy at 144 kJ/mol of formula units. Its total energy is -4.6228 eV/atom.

***

No. 2
Pm5PrDy2: optimized geometry, PBE.

The structure in extended XYZ format:
```
16
Lattice="7.263 0.000 0.000 0.000 14.526 0.000 0.000 0.000 5.124" Properties=species:S:1:pos:R:3 pbc="T T T"
Pm 0.000 0.000 0.000
Pm 0.006 3.624 0.000
Pm 1.808 12.702 2.562
Pm 1.823 5.439 2.562
Pm 3.626 10.887 0.000
Pm 3.632 7.263 0.000
Pm 3.637 3.639 0.000
Pm 5.440 9.087 2.562
Pm 5.455 1.824 2.562
Pm 7.257 10.903 0.000
Pr 0.000 7.263 0.000
Pr 3.632 0.000 0.000
Dy 1.817 1.820 2.562
Dy 1.814 9.083 2.562
Dy 5.449 5.443 2.562
Dy 5.446 12.706 2.562
```

Computed properties:
The value obtained for the density of states at the Fermi level is 11.63 states/eV/f.u. As for the space group: No. 55. The value obtained for the energy above the most stable polymorph in this dataset is 0 meV/atom. The calculation puts the formation energy at 11 kJ/mol of formula units. Its total energy is -4.7029 eV/atom.

***

No. 3
Pm4Pr3Dy: optimized geometry, PBE.

The structure in extended XYZ format:
```
16
Lattice="11.849 0.000 0.000 0.000 7.398 0.000 0.000 0.000 6.392" Properties=species:S:1:pos:R:3 pbc="T T T"
Pm 0.000 0.915 0.000
Pm 0.000 6.477 3.180
Pm 2.933 6.475 5.313
Pm 2.991 0.923 2.117
Pm 5.924 0.921 6.376
Pm 5.924 6.483 3.196
Pm 8.858 0.923 2.117
Pm 8.916 6.475 5.313
Pr 0.000 2.763 3.183
Pr 2.959 2.773 5.315
Pr 2.965 4.625 2.120
Pr 5.924 4.635 6.379
Pr 8.890 2.773 5.315
Pr 8.884 4.625 2.120
Dy 0.000 4.629 6.373
Dy 5.924 2.769 3.177
```

Computed properties:
The value obtained for the density of states at the Fermi level is 14.03 states/eV/f.u. As for the space group: No. 31. The value obtained for the energy above the most stable polymorph in this dataset is 0 meV/atom. The calculation puts the formation energy at 25 kJ/mol of formula units. Its total energy is -4.7106 eV/atom.

***

Q: The highest density of states at the Fermi level belongs to which entry?
A: Pm2Pr8Dy